No. 1
## Pu5Sc3S8 (GGA-PBE)

Data for crystalline Pu5Sc3S8 at its relaxed geometry.

DFT total energy: -152.50 eV per formula unit

a = 7.7335 Å, b = 7.7335 Å, c = 7.7335 Å
α = 59.77°, β = 59.77°, γ = 59.77°
Element x y z (fractional)
1 Pu 0.0000 0.0000 0.0000
2 Pu 0.0000 0.5000 0.5000
3 Pu 0.5000 0.0000 0.5000
4 Pu 0.5000 0.5000 0.0000
5 Pu 0.5000 0.5000 0.5000
6 Sc 0.0000 0.0000 0.5000
7 Sc 0.0000 0.5000 0.0000
8 Sc 0.5000 0.0000 0.0000
9 S 0.2381 0.7499 0.7499
10 S 0.2436 0.2436 0.2436
11 S 0.2501 0.2501 0.7619
12 S 0.2501 0.7619 0.2501
13 S 0.7499 0.2381 0.7499
14 S 0.7499 0.7499 0.2381
15 S 0.7564 0.7564 0.7564
16 S 0.7619 0.2501 0.2501

***

No. 2
## Pu4Sc3S8 (GGA-PBE)

Data for crystalline Pu4Sc3S8 at its relaxed geometry.

DFT total energy: -135.81 eV per formula unit

a = 7.6613 Å, b = 7.6613 Å, c = 7.6132 Å
α = 119.63°, β = 119.63°, γ = 90.24°
Element x y z (fractional)
1 Pu 0.0000 0.0000 0.0000
2 Pu 0.0000 0.5000 0.0000
3 Pu 0.5000 0.0000 0.0000
4 Pu 0.5000 0.5000 0.5000
5 Sc 0.0000 0.5000 0.5000
6 Sc 0.5000 0.0000 0.5000
7 Sc 0.5000 0.5000 0.0000
8 S 0.2454 0.7546 0.5000
9 S 0.2518 0.2518 0.9905
10 S 0.2532 0.2532 0.5155
11 S 0.2552 0.7448 0.0000
12 S 0.7448 0.2552 0.0000
13 S 0.7468 0.7468 0.4845
14 S 0.7482 0.7482 0.0095
15 S 0.7546 0.2454 0.5000

***

No. 3
## PuScS2 (GGA-PBE)

Data for crystalline PuScS2 at its relaxed geometry.

offset from the most stable computed form: 38 meV per atom

a = 3.7548 Å, b = 3.7548 Å, c = 13.0212 Å
α = 90.00°, β = 90.00°, γ = 120.00°
Element x y z (fractional)
1 Pu 0.3333 0.6667 0.2500
2 Pu 0.6667 0.3333 0.7500
3 Sc 0.0000 0.0000 0.0000
4 Sc 0.0000 0.0000 0.5000
5 S 0.3333 0.6667 0.6129
6 S 0.3333 0.6667 0.8871
7 S 0.6667 0.3333 0.1129
8 S 0.6667 0.3333 0.3871

***

No. 4
## Pu3Sc4S8 (GGA-PBE)

Data for crystalline Pu3Sc4S8 at its relaxed geometry.

DFT total energy: -128.91 eV per formula unit

a = 7.6114 Å, b = 7.6114 Å, c = 7.5615 Å
α = 119.74°, β = 119.74°, γ = 90.16°
Element x y z (fractional)
1 Pu 0.0000 0.0000 0.0000
2 Pu 0.0000 0.5000 0.5000
3 Pu 0.5000 0.0000 0.5000
4 Sc 0.0000 0.5000 0.0000
5 Sc 0.5000 0.0000 0.0000
6 Sc 0.5000 0.5000 0.0000
7 Sc 0.5000 0.5000 0.5000
8 S 0.2549 0.7451 0.5000
9 S 0.2565 0.7435 0.0000
10 S 0.2604 0.2604 0.0083
11 S 0.2632 0.2632 0.5154
12 S 0.7368 0.7368 0.4846
13 S 0.7396 0.7396 0.9917
14 S 0.7435 0.2565 0.0000
15 S 0.7451 0.2549 0.5000

***

No. 5
## PuSc3S4 (GGA-PBE)

Data for crystalline PuSc3S4 at its relaxed geometry.

DFT total energy: -64.64 eV per formula unit

a = 12.4995 Å, b = 12.4995 Å, c = 12.4995 Å
α = 17.24°, β = 17.24°, γ = 17.24°
Element x y z (fractional)
1 Pu 0.0000 0.0000 0.0000
2 Sc 0.2481 0.2481 0.2481
3 Sc 0.5000 0.5000 0.5000
4 Sc 0.7519 0.7519 0.7519
5 S 0.1264 0.1264 0.1264
6 S 0.3796 0.3796 0.3796
7 S 0.6204 0.6204 0.6204
8 S 0.8736 0.8736 0.8736

***

No. 6
## PuSc2S3 (GGA-PBE)

Data for crystalline PuSc2S3 at its relaxed geometry.

DFT total energy: -50.40 eV per formula unit

a = 6.5628 Å, b = 6.5628 Å, c = 6.5628 Å
α = 146.74°, β = 131.80°, γ = 59.82°
Element x y z (fractional)
1 Pu 0.0000 0.0000 0.0000
2 Sc 0.3339 0.3339 0.0000
3 Sc 0.6661 0.6661 0.0000
4 S 0.1760 0.6760 0.5000
5 S 0.5000 0.0000 0.5000
6 S 0.8240 0.3240 0.5000

***

No. 7
## Pu2Sc3S4 (GGA-PBE)

Data for crystalline Pu2Sc3S4 at its relaxed geometry.

DFT total energy: -78.19 eV per formula unit

a = 6.4506 Å, b = 6.4506 Å, c = 9.2234 Å
α = 116.71°, β = 116.71°, γ = 33.00°
Element x y z (fractional)
1 Pu 0.0915 0.0915 0.4104
2 Pu 0.9085 0.9085 0.5896
3 Sc 0.2893 0.2893 0.1873
4 Sc 0.5000 0.5000 0.0000
5 Sc 0.7107 0.7107 0.8127
6 S 0.1042 0.1042 0.9047
7 S 0.3047 0.3047 0.7092
8 S 0.6953 0.6953 0.2908
9 S 0.8958 0.8958 0.0953

***

No. 8
## PuScS2 (GGA-PBE)

Data for crystalline PuScS2 at its relaxed geometry.

offset from the most stable computed form: 0 meV per atom

a = 6.6934 Å, b = 6.6934 Å, c = 6.6934 Å
α = 32.93°, β = 32.93°, γ = 32.93°
Element x y z (fractional)
1 Pu 0.0000 0.0000 0.0000
2 Sc 0.5000 0.5000 0.5000
3 S 0.2436 0.2436 0.2436
4 S 0.7564 0.7564 0.7564

***

No. 9
## PuScS3 (GGA-PBE)

Data for crystalline PuScS3 at its relaxed geometry.

DFT total energy: -40.81 eV per formula unit

a = 7.1467 Å, b = 7.1467 Å, c = 7.1467 Å
α = 137.98°, β = 81.23°, γ = 114.18°
Element x y z (fractional)
1 Pu 0.0000 0.0000 0.0000
2 Pu 0.5000 0.0000 0.5000
3 Sc 0.2985 0.5485 0.7500
4 Sc 0.7015 0.4515 0.2500
5 S 0.0771 0.6544 0.4227
6 S 0.2683 0.3456 0.9227
7 S 0.3575 0.1075 0.2500
8 S 0.6425 0.8925 0.7500
9 S 0.7317 0.6544 0.0773
10 S 0.9229 0.3456 0.5773

***

No. 10
## Pu2ScSe2S2 (GGA-PBE)

Data for crystalline Pu2ScSe2S2 at its relaxed geometry.

DFT total energy: -60.77 eV per formula unit

a = 8.1492 Å, b = 8.1492 Å, c = 8.1492 Å
α = 145.70°, β = 145.70°, γ = 49.29°
Element x y z (fractional)
1 Pu 0.1262 0.1262 0.0000
2 Pu 0.8738 0.8738 0.0000
3 Sc 0.5000 0.5000 0.0000
4 Se 0.3190 0.3190 0.0000
5 Se 0.6810 0.6810 0.0000
6 S 0.0000 0.5000 0.5000
7 S 0.5000 0.0000 0.5000

***

No. 11
## Sm3Pu2ScS6 (GGA-PBE)

Data for crystalline Sm3Pu2ScS6 at its relaxed geometry.

DFT total energy: -96.90 eV per formula unit

a = 6.8077 Å, b = 6.8077 Å, c = 6.8558 Å
α = 99.53°, β = 99.53°, γ = 120.00°
Element x y z (fractional)
1 Sm 0.0000 0.0000 0.0000
2 Sm 0.3308 0.6692 0.0000
3 Sm 0.6692 0.3308 0.0000
4 Pu 0.1661 0.8339 0.5000
5 Pu 0.8339 0.1661 0.5000
6 Sc 0.5000 0.5000 0.5000
7 S 0.0968 0.4213 0.2631
8 S 0.2562 0.2562 0.7412
9 S 0.4213 0.0968 0.2631
10 S 0.5787 0.9032 0.7369
11 S 0.7438 0.7438 0.2588
12 S 0.9032 0.5787 0.7369

***

No. 12
## Sm4Pu3ScS8 (GGA-PBE)

Data for crystalline Sm4Pu3ScS8 at its relaxed geometry.

DFT total energy: -131.86 eV per formula unit

a = 7.9198 Å, b = 7.9198 Å, c = 7.9198 Å
α = 59.68°, β = 59.68°, γ = 59.68°
Element x y z (fractional)
1 Sm 0.0000 0.0000 0.0000
2 Sm 0.0000 0.5000 0.5000
3 Sm 0.5000 0.0000 0.5000
4 Sm 0.5000 0.5000 0.0000
5 Pu 0.0000 0.0000 0.5000
6 Pu 0.0000 0.5000 0.0000
7 Pu 0.5000 0.0000 0.0000
8 Sc 0.5000 0.5000 0.5000
9 S 0.2480 0.2480 0.2480
10 S 0.2542 0.7421 0.7421
11 S 0.2579 0.2579 0.7458
12 S 0.2579 0.7458 0.2579
13 S 0.7421 0.2542 0.7421
14 S 0.7421 0.7421 0.2542
15 S 0.7458 0.2579 0.2579
16 S 0.7520 0.7520 0.7520